Entry 1:
LiSmCdTe3 | GGA-PBE | optimized geometry

```
LiSmCdTe3
1.0
13.4066 0.0000 0.0000
0.0000 4.3948 0.0000
0.0000 0.0000 12.8375
Li Sm Cd Te
4 4 4 12
Direct
0.1143 0.2500 0.0074
0.3857 0.7500 0.5074
0.6143 0.2500 0.4926
0.8857 0.7500 0.9926
0.0512 0.2500 0.6768
0.4488 0.7500 0.1768
0.5512 0.2500 0.8232
0.9488 0.7500 0.3232
0.2356 0.2500 0.2836
0.2644 0.7500 0.7836
0.7356 0.2500 0.2164
0.7644 0.7500 0.7164
0.0632 0.7500 0.8594
0.0808 0.2500 0.4252
0.2189 0.7500 0.1413
0.2811 0.2500 0.6413
0.4192 0.7500 0.9252
0.4368 0.2500 0.3594
0.5632 0.7500 0.6406
0.5808 0.2500 0.0748
0.7189 0.7500 0.3587
0.7811 0.2500 0.8587
0.9192 0.7500 0.5748
0.9368 0.2500 0.1406
```

* total energy: -89.868 eV per cell
* magnetic moment: 0.0 μB/f.u.


Entry 2:
ErHfAg | GGA-PBE | optimized geometry

```
ErHfAg
1.0
0.0000 3.3711 3.3711
3.3711 0.0000 3.3711
3.3711 3.3711 0.0000
Er Hf Ag
1 1 1
Direct
0.0000 0.0000 0.0000
0.7500 0.7500 0.7500
0.5000 0.5000 0.5000
```

* E_form: 833 meV/atom
* magnetic moment: 0.1 μB/f.u.


Entry 3:
Al6W7 | GGA-PBE | optimized geometry

```
Al6W7
1.0
2.6687 1.5408 8.9822
-2.6687 1.5408 8.9822
0.0000 -3.0815 8.9822
Al W
6 7
Direct
0.0503 0.0503 0.0503
0.1532 0.1532 0.1532
0.3335 0.3335 0.3335
0.6665 0.6665 0.6665
0.8468 0.8468 0.8468
0.9497 0.9497 0.9497
0.0827 0.5884 0.5884
0.4116 0.4116 0.9173
0.4116 0.9173 0.4116
0.5000 0.5000 0.5000
0.5884 0.0827 0.5884
0.5884 0.5884 0.0827
0.9173 0.4116 0.4116
```

* total energy: -110.382 eV per cell
* magnetic moment: 0.1 μB/f.u.


Entry 4:
BePOsO | GGA-PBE | optimized geometry

```
BePOsO
1.0
2.8967 0.0000 0.0000
0.0000 5.7021 0.0000
0.0000 0.0000 5.7687
Be P Os O
2 2 2 2
Direct
0.0000 0.1072 0.0000
0.0000 0.8928 0.5000
0.0000 0.2690 0.4970
0.0000 0.7310 0.9970
0.5000 0.5005 0.2452
0.5000 0.4995 0.7452
0.5000 0.2208 0.9956
0.5000 0.7792 0.4956
```

* total energy: -56.825 eV per cell
* magnetic moment: 0.0 μB/f.u.


Entry 5:
Cs2RbErCl6 | GGA-PBE | optimized geometry

```
Cs2RbErCl6
1.0
0.0000 5.6884 5.6884
5.6884 0.0000 5.6884
5.6884 5.6884 0.0000
Cs Rb Er Cl
2 1 1 6
Direct
0.2500 0.2500 0.2500
0.7500 0.7500 0.7500
0.0000 0.0000 0.0000
0.5000 0.5000 0.5000
0.2712 0.2712 0.7288
0.2712 0.7288 0.2712
0.2712 0.7288 0.7288
0.7288 0.2712 0.2712
0.7288 0.2712 0.7288
0.7288 0.7288 0.2712
```

* total energy: -39.785 eV per cell
* magnetic moment: 0.0 μB/f.u.


Entry 6:
Ho | GGA-PBE | optimized geometry

```
Ho
1.0
-1.7595 1.7595 2.4687
1.7595 -1.7595 2.4687
1.7595 1.7595 -2.4687
Ho
1
Direct
0.0000 0.0000 0.0000
```

* E_form: 20 meV/atom
* magnetic moment: 0.0 μB/f.u.


Entry 7:
ZnCoBiPt | GGA-PBE | optimized geometry

```
ZnCoBiPt
1.0
0.0000 3.2390 3.2390
3.2390 0.0000 3.2390
3.2390 3.2390 0.0000
Zn Co Bi Pt
1 1 1 1
Direct
0.0000 0.0000 0.0000
0.7500 0.7500 0.7500
0.5000 0.5000 0.5000
0.2500 0.2500 0.2500
```

* total energy: -17.909 eV per cell
* magnetic moment: 1.2 μB/f.u.


Entry 8:
K3NpCl6 | GGA-PBE | optimized geometry

```
K3NpCl6
1.0
3.9282 2.2679 6.4582
-3.9282 2.2679 6.4582
0.0000 -4.5359 6.4582
K Np Cl
3 1 6
Direct
0.0000 0.0000 0.0000
0.2868 0.2868 0.2868
0.7132 0.7132 0.7132
0.5000 0.5000 0.5000
0.1536 0.7070 0.3832
0.2930 0.6168 0.8464
0.3832 0.1536 0.7070
0.6168 0.8464 0.2930
0.7070 0.3832 0.1536
0.8464 0.2930 0.6168
```

* total energy: -46.195 eV per cell
* magnetic moment: 4.0 μB/f.u.


Entry 9:
TbMgCuSe2S | GGA-PBE | optimized geometry

```
TbMgCuSe2S
1.0
1.9148 -6.2864 0.0000
1.9148 6.2864 0.0000
0.0000 0.0000 10.4337
Tb Mg Cu Se S
2 2 2 4 2
Direct
0.0000 0.0000 0.0000
0.0000 0.0000 0.5000
0.2493 0.7507 0.7500
0.7507 0.2493 0.2500
0.4840 0.5160 0.2500
0.5160 0.4840 0.7500
0.3481 0.6519 0.0818
0.3481 0.6519 0.4182
0.6519 0.3481 0.5818
0.6519 0.3481 0.9182
0.0954 0.9046 0.2500
0.9046 0.0954 0.7500
```

* total energy: -56.161 eV per cell
* magnetic moment: 0.0 μB/f.u.


Entry 10:
SrSi2SnIr | GGA-PBE | optimized geometry

```
SrSi2SnIr
1.0
-2.2400 2.2400 5.2425
2.2400 -2.2400 5.2425
2.2400 2.2400 -5.2425
Sr Si Sn Ir
1 2 1 1
Direct
0.0000 0.0000 0.0000
0.2570 0.7570 0.5000
0.7570 0.2570 0.5000
0.5957 0.5957 0.0000
0.3435 0.3435 0.0000
```

* total energy: -27.982 eV per cell
* magnetic moment: 0.0 μB/f.u.


Entry 11:
AcZnMo | GGA-PBE | optimized geometry

```
AcZnMo
1.0
0.0000 3.4214 3.4214
3.4214 0.0000 3.4214
3.4214 3.4214 0.0000
Ac Zn Mo
1 1 1
Direct
0.0000 0.0000 0.0000
0.2500 0.2500 0.2500
0.5000 0.5000 0.5000
```

* E_form: 809 meV/atom
* magnetic moment: 2.2 μB/f.u.


Entry 12:
Cs3Rb2CuSb2 | GGA-PBE | optimized geometry

```
Cs3Rb2CuSb2
1.0
3.2081 1.8522 9.8984
-3.2081 1.8522 9.8984
0.0000 -3.7044 9.8984
Cs Rb Cu Sb
3 2 1 2
Direct
0.0000 0.0000 0.0000
0.2837 0.2837 0.2837
0.7163 0.7163 0.7163
0.1393 0.1393 0.1393
0.8607 0.8607 0.8607
0.5000 0.5000 0.5000
0.4158 0.4158 0.4158
0.5842 0.5842 0.5842
```

* total energy: -19.047 eV per cell


Entry 13:
BaNd2CoS5 | GGA-PBE | optimized geometry

```
BaNd2CoS5
1.0
-3.9290 3.9290 6.7312
3.9290 -3.9290 6.7312
3.9290 3.9290 -6.7312
Ba Nd Co S
2 4 2 10
Direct
0.2500 0.2500 0.0000
0.7500 0.7500 0.0000
0.1626 0.6626 0.8252
0.3374 0.1626 0.5000
0.6626 0.8374 0.5000
0.8374 0.3374 0.1748
0.2500 0.7500 0.5000
0.7500 0.2500 0.5000
0.0000 0.0000 0.0000
0.0101 0.2184 0.5000
0.2184 0.7184 0.2083
0.2816 0.4899 0.5000
0.4899 0.9899 0.2083
0.5000 0.5000 0.0000
0.5101 0.0101 0.7917
0.7184 0.5101 0.5000
0.7816 0.2816 0.7917
0.9899 0.7816 0.5000
```

* total energy: -108.170 eV per cell
* magnetic moment: 3.0 μB/f.u.


Entry 14:
ScZnInTe3 | GGA-PBE | optimized geometry

```
ScZnInTe3
1.0
12.7975 0.0000 0.0000
0.0000 4.2986 0.0000
0.0000 0.0000 12.9075
Sc Zn In Te
4 4 4 12
Direct
0.0344 0.2500 0.1705
0.4656 0.7500 0.6705
0.5344 0.2500 0.3295
0.9656 0.7500 0.8295
0.2430 0.7500 0.3033
0.2570 0.2500 0.8033
0.7430 0.7500 0.1967
0.7570 0.2500 0.6967
0.1697 0.2500 0.4937
0.3303 0.7500 0.9937
0.6697 0.2500 0.0063
0.8303 0.7500 0.5063
0.0343 0.7500 0.3354
0.0926 0.2500 0.9324
0.2377 0.7500 0.6795
0.2623 0.2500 0.1795
0.4074 0.7500 0.4324
0.4657 0.2500 0.8354
0.5343 0.7500 0.1646
0.5926 0.2500 0.5676
0.7377 0.7500 0.8205
0.7623 0.2500 0.3205
0.9074 0.7500 0.0676
0.9657 0.2500 0.6646
```

* total energy: -93.648 eV per cell
* magnetic moment: 0.0 μB/f.u.


Entry 15:
KCuGeTe2S | GGA-PBE | optimized geometry

```
KCuGeTe2S
1.0
1.8881 -7.6608 0.0000
1.8881 7.6608 0.0000
0.0000 0.0000 10.9640
K Cu Ge Te S
2 2 2 4 2
Direct
0.2166 0.7834 0.7500
0.7834 0.2166 0.2500
0.0395 0.9605 0.2500
0.9605 0.0395 0.7500
0.5000 0.5000 0.0000
0.5000 0.5000 0.5000
0.1345 0.8655 0.0483
0.1345 0.8655 0.4517
0.8655 0.1345 0.5483
0.8655 0.1345 0.9517
0.4569 0.5431 0.2500
0.5431 0.4569 0.7500
```

* total energy: -43.380 eV per cell


Entry 16:
Na3GdCl6 | GGA-PBE | optimized geometry

```
Na3GdCl6
1.0
3.5048 2.0235 6.3197
-3.5048 2.0235 6.3197
0.0000 -4.0470 6.3197
Na Gd Cl
3 1 6
Direct
0.0000 0.0000 0.0000
0.1906 0.1906 0.1906
0.8094 0.8094 0.8094
0.5000 0.5000 0.5000
0.1205 0.7579 0.3908
0.2421 0.6092 0.8795
0.3908 0.1205 0.7579
0.6092 0.8795 0.2421
0.7579 0.3908 0.1205
0.8795 0.2421 0.6092
```

* total energy: -39.703 eV per cell
* magnetic moment: 0.0 μB/f.u.


Entry 17:
RbBaPd | GGA-PBE | optimized geometry

```
RbBaPd
1.0
0.0000 3.9450 3.9450
3.9450 0.0000 3.9450
3.9450 3.9450 0.0000
Rb Ba Pd
1 1 1
Direct
0.0000 0.0000 0.0000
0.5000 0.5000 0.5000
0.7500 0.7500 0.7500
```

* total energy: -8.280 eV per cell


Entry 18:
Pm2Ni2Sn | GGA-PBE | optimized geometry

```
Pm2Ni2Sn
1.0
7.4599 0.0000 0.0000
0.0000 7.4599 0.0000
0.0000 0.0000 3.8068
Pm Ni Sn
4 4 2
Direct
0.1780 0.3220 0.0000
0.3220 0.8220 0.0000
0.6780 0.1780 0.0000
0.8220 0.6780 0.0000
0.1187 0.6187 0.5000
0.3813 0.1187 0.5000
0.6187 0.8813 0.5000
0.8813 0.3813 0.5000
0.0000 0.0000 0.5000
0.5000 0.5000 0.5000
```

* total energy: -54.669 eV per cell
* magnetic moment: 0.0 μB/f.u.


Entry 19:
CsMgAu | GGA-PBE | optimized geometry

```
CsMgAu
1.0
0.0000 3.9316 3.9316
3.9316 0.0000 3.9316
3.9316 3.9316 0.0000
Cs Mg Au
1 1 1
Direct
0.0000 0.0000 0.0000
0.5000 0.5000 0.5000
0.2500 0.2500 0.2500
```

* total energy: -5.549 eV per cell


Entry 20:
TbHo3C2S2 | GGA-PBE | optimized geometry

```
TbHo3C2S2
1.0
3.6953 0.0000 0.0000
-1.8477 3.2002 0.0000
0.0000 0.0000 12.8722
Tb Ho C S
1 3 2 2
Direct
0.0000 0.0000 0.0000
0.0000 0.0000 0.2922
0.6667 0.3333 0.4995
0.6667 0.3333 0.7908
0.3333 0.6667 0.3960
0.3333 0.6667 0.8946
0.0000 0.0000 0.6457
0.6667 0.3333 0.1474
```

* total energy: -55.170 eV per cell
* magnetic moment: 0.0 μB/f.u.


What did we get for V? Answer: 31.52 25.54 17.05 11.91 36.81 30.57 16.99 34.52 20.93 21.04 26.70 44.11 23.09 29.59 26.43 26.89 40.93 21.18 40.51 19.03 Å³ per atom, in the order shown.